# 1
Compound: TiAsC
Source: Alexandria
Functional: PBE-GGA
Structure: relaxed

Output
SG   Immm
Energy of formation from the pure elements   0.092 eV per atom

Cell: 3.844 3.402 7.487 Å, 103.13 104.88 90.00°
Atoms (fractional coordinates):
As 0.688 0.188 0.375
As 0.312 0.812 0.625
C 0.666 0.500 0.000
C 0.334 0.500 0.000
Ti 0.117 0.617 0.234
Ti 0.883 0.383 0.766

=====

# 2
Compound: Ti6AsC3
Source: Alexandria
Functional: PBE-GGA
Structure: relaxed

Output
SG   P2_1/m
Energy of formation from the pure elements   -0.729 eV per atom

Cell: 3.200 9.049 9.387 Å, 108.40 90.00 90.00°
Atoms (fractional coordinates):
Ti 0.750 0.485 0.618
Ti 0.250 0.515 0.382
Ti 0.750 0.925 0.082
Ti 0.250 0.075 0.918
Ti 0.750 0.385 0.047
Ti 0.250 0.615 0.953
Ti 0.750 0.697 0.256
Ti 0.250 0.303 0.744
Ti 0.750 0.160 0.469
Ti 0.250 0.840 0.531
Ti 0.750 0.793 0.765
Ti 0.250 0.207 0.235
As 0.750 0.060 0.698
As 0.250 0.940 0.302
C 0.750 0.464 0.844
C 0.250 0.536 0.156
C 0.750 0.667 0.484
C 0.250 0.333 0.516
C 0.750 0.159 0.079
C 0.250 0.841 0.921

=====

# 3
Compound: Ti7As2C2
Source: Alexandria
Functional: PBE-GGA
Structure: relaxed

Output
SG   Imm2
Energy of formation from the pure elements   -0.591 eV per atom

Cell: 3.130 7.728 7.728 Å, 58.35 78.32 78.32°
Atoms (fractional coordinates):
Ti 0.818 0.087 0.277
Ti 0.837 0.424 0.902
Ti 0.500 0.016 0.984
Ti 0.632 0.470 0.267
Ti 0.368 0.733 0.530
Ti 0.182 0.723 0.913
Ti 0.163 0.098 0.576
As 0.000 0.752 0.248
As 0.500 0.347 0.653
C 0.754 0.847 0.644
C 0.246 0.356 0.153

=====

# 4
Compound: Ti2AsC
Source: Alexandria
Functional: PBE-GGA
Structure: relaxed

Output
SG   C2/m
Energy of formation from the pure elements   -0.800 eV per atom

Cell: 3.213 3.227 6.312 Å, 104.86 90.00 119.86°
Atoms (fractional coordinates):
Ti 0.271 0.042 0.314
Ti 0.729 0.958 0.686
As 0.500 0.500 0.000
C 0.000 0.500 0.500

=====

# 5
Compound: Ti2AsC
Source: Alexandria
Functional: PBE-GGA
Structure: relaxed

Output
SG   I-42d
Energy of formation from the pure elements   -0.288 eV per atom

Cell: 5.394 5.394 6.121 Å, 63.86 63.86 90.00°
Atoms (fractional coordinates):
As 0.000 0.000 0.000
As 0.750 0.250 0.500
C 0.500 0.500 0.000
C 0.250 0.750 0.500
Ti 0.547 0.125 0.250
Ti 0.203 0.625 0.250
Ti 0.375 0.453 0.750
Ti 0.875 0.797 0.750

=====

# 6
Compound: Ti2AsC
Source: Alexandria
Functional: PBE-GGA
Structure: relaxed

Output
SG   Fm-3m
Energy of formation from the pure elements   0.215 eV per atom

Cell: 4.233 4.233 4.233 Å, 60.00 60.00 60.00°
Atoms (fractional coordinates):
As 0.500 0.500 0.500
C 0.000 0.000 0.000
Ti 0.250 0.250 0.250
Ti 0.750 0.750 0.750

=====

# 7
Compound: Ti8AsC2
Source: Alexandria
Functional: PBE-GGA
Structure: relaxed

Output
SG   C2/m
Energy of formation from the pure elements   -0.355 eV per atom

Cell: 4.329 6.283 6.283 Å, 112.71 96.15 96.15°
Atoms (fractional coordinates):
Ti 0.925 0.924 0.664
Ti 0.925 0.664 0.924
Ti 0.300 0.600 0.600
Ti 0.500 0.745 0.255
Ti 0.500 0.255 0.745
Ti 0.700 0.400 0.400
Ti 0.075 0.336 0.076
Ti 0.075 0.076 0.336
As 0.500 0.000 0.000
C 0.000 0.309 0.691
C 0.000 0.691 0.309

=====

# 8
Compound: Ti4AsC
Source: Alexandria
Functional: PBE-GGA
Structure: relaxed

Output
SG   P2_1/c
Energy of formation from the pure elements   -0.478 eV per atom

Cell: 5.790 5.686 5.584 Å, 90.00 95.86 90.00°
Atoms (fractional coordinates):
Ti 0.893 0.627 0.166
Ti 0.607 0.127 0.834
Ti 0.316 0.334 0.396
Ti 0.184 0.834 0.604
Ti 0.107 0.373 0.834
Ti 0.393 0.873 0.166
Ti 0.684 0.666 0.604
Ti 0.816 0.166 0.396
As 0.000 0.000 0.000
As 0.500 0.500 0.000
C 0.500 0.000 0.500
C 0.000 0.500 0.500

=====

# 9
Compound: Ti2AsC
Source: Alexandria
Functional: PBE-GGA
Structure: relaxed

Output
SG   R3m
Energy of formation from the pure elements   -0.840 eV per atom

Cell: 3.156 3.156 6.475 Å, 75.90 75.90 60.00°
Atoms (fractional coordinates):
Ti 0.061 0.061 0.816
Ti 0.272 0.272 0.185
As 0.499 0.499 0.504
C 0.668 0.668 0.996

=====

# 10
Compound: Ti6AsC
Source: Alexandria
Functional: PBE-GGA
Structure: relaxed

Output
SG   P-1
Energy of formation from the pure elements   -0.303 eV per atom

Cell: 5.401 5.400 6.158 Å, 63.98 64.05 60.07°
Atoms (fractional coordinates):
Ti 0.043 0.408 0.782
Ti 0.768 0.042 0.782
Ti 0.593 0.232 0.218
Ti 0.232 0.958 0.218
Ti 0.957 0.592 0.218
Ti 0.407 0.768 0.782
As 0.500 0.500 0.500
C 0.000 0.000 0.000

=====

# 11
Compound: Ti3AsC
Source: Alexandria
Functional: PBE-GGA
Structure: relaxed

Output
SG   Pm-3m
Energy of formation from the pure elements   -0.535 eV per atom

Cell: 4.161 4.161 4.161 Å, 90.00 90.00 90.00°
Atoms (fractional coordinates):
As 0.500 0.500 0.500
C 0.000 0.000 0.000
Ti 0.000 0.500 0.000
Ti 0.000 0.000 0.500
Ti 0.500 0.000 0.000